Record 1
The following is a PBE-GGA calculation of a relaxed TiNb4Bi crystal, from the Alexandria database.

It has space group C2/m (No. 12), with a = 10.148 Å, b = 3.531 Å, c = 6.746 Å, α = 90.00°, β = 107.12° and γ = 90.00°. The inequivalent atoms are Ti at (0.000, 0.000, 0.000), Nb at (0.169, 0.500, 0.842), Nb at (0.180, 0.500, 0.320) and Bi at (0.000, 0.000, 0.500).

The calculated formation energy is 0.082 eV per atom.

Record 2
The following is a PBE-GGA calculation of a relaxed CeUAl crystal, from the Alexandria database.

It has space group Fmmm (No. 69), with a = 4.888 Å, b = 9.894 Å, c = 11.459 Å, α = 90.00°, β = 90.00° and γ = 90.00°. The inequivalent atoms are Ce at (0.000, 0.000, 0.127), U at (0.250, 0.250, 0.250) and Al at (0.000, 0.188, 0.500).

The calculated formation energy is 0.225 eV per atom. The value obtained for the energy above the most stable polymorph in this dataset is 107 meV/atom.

Record 3
The following is a PBE-GGA calculation of a relaxed Re2AgPd crystal, from the Alexandria database.

It has space group Fm-3m (No. 225), with a = 6.294 Å, b = 6.294 Å, c = 6.294 Å, α = 90.00°, β = 90.00° and γ = 90.00°. The inequivalent atoms are Re at (0.250, 0.250, 0.250), Ag at (0.000, 0.000, 0.000) and Pd at (0.000, 0.000, 0.500).

The calculated formation energy is 0.974 eV per atom. The value obtained for the energy above the most stable polymorph in this dataset is 0 meV/atom.

Record 4
The following is a PBE-GGA calculation of a relaxed TbHo5Rh6 crystal, from the Alexandria database.

It has space group P2/m (No. 10), with a = 4.819 Å, b = 6.854 Å, c = 7.625 Å, α = 90.00°, β = 108.35° and γ = 90.00°. The inequivalent atoms are Tb at (0.000, 0.000, 0.000), Ho at (0.000, 0.500, 0.000), Ho at (0.333, 0.000, 0.666), Ho at (0.333, 0.500, 0.667), Rh at (0.167, 0.251, 0.334) and Rh at (0.500, 0.252, 0.000).

The calculated formation energy is -0.896 eV per atom.

Record 5
The following is a PBE-GGA calculation of a relaxed TiAs crystal, from the Alexandria database.

It has space group Cmcm (No. 63), with a = 3.748 Å, b = 14.001 Å, c = 5.530 Å, α = 90.00°, β = 90.00° and γ = 90.00°. The inequivalent atoms are Ti at (0.000, 0.000, 0.000), Ti at (0.000, 0.200, 0.250), As at (0.000, 0.165, 0.750) and As at (0.000, 0.424, 0.750).

The calculated formation energy is -0.776 eV per atom.

Record 6
The following is a PBE-GGA calculation of a relaxed Ho2I3 crystal, from the Alexandria database.

It has space group R-3c (No. 167, hexagonal axes), with a = 7.0411 Å, b = 7.0411 Å, c = 23.9890 Å, α = 90.00°, β = 90.00° and γ = 120.00°. The inequivalent atoms are Ho at (0.0000, 0.0000, 0.1701) and I at (0.0000, 0.3404, 0.2500).

As for the formation energy from raw total energies: -0.80 eV per atom.

Record 7
The following is a PBE-GGA calculation of a relaxed TlSn2As2 crystal, from the Alexandria database.

It has space group R-3m (No. 166, hexagonal axes), with a = 4.1375 Å, b = 4.1375 Å, c = 28.1708 Å, α = 90.00°, β = 90.00° and γ = 120.00°. The inequivalent atoms are Tl at (0.0000, 0.0000, 0.0000), Sn at (0.0000, 0.0000, 0.2089) and As at (0.0000, 0.0000, 0.4095).

The calculated formation energy is -0.087 eV per atom. The value obtained for the energy above the most stable polymorph in this dataset is 0 meV/atom.

Record 8
The following is a PBE-GGA calculation of a relaxed CePmCuPd crystal, from the Alexandria database.

It has space group F-43m (No. 216), with a = 7.158 Å, b = 7.158 Å, c = 7.158 Å, α = 90.00°, β = 90.00° and γ = 90.00°. The inequivalent atoms are Ce at (0.000, 0.000, 0.000), Pm at (0.000, 0.000, 0.500), Cu at (0.250, 0.250, 0.750) and Pd at (0.250, 0.250, 0.250).

The calculated formation energy is -0.374 eV per atom.

Record 9
The following is a PBE-GGA calculation of a relaxed KTlBrO5 crystal, from the Alexandria database.

It has space group C2/c (No. 15), with a = 7.699 Å, b = 10.554 Å, c = 7.512 Å, α = 90.00°, β = 111.27° and γ = 90.00°. The inequivalent atoms are K at (0.000, 0.165, 0.250), Tl at (0.000, 0.500, 0.000), Br at (0.000, 0.179, 0.750), O at (0.000, 0.417, 0.250), O at (0.103, 0.278, 0.628) and O at (0.162, 0.082, 0.919).

As for the formation energy from raw total energies: -0.33 eV per atom.

Record 10
The following is a PBE-GGA calculation of a relaxed Nd6YTm4 crystal, from the Alexandria database.

It has space group Cmcm (No. 63), with a = 5.825 Å, b = 9.726 Å, c = 25.896 Å, α = 90.00°, β = 90.00° and γ = 90.00°. The inequivalent atoms are Nd at (0.000, 0.000, 0.000), Nd at (0.000, 0.040, 0.250), Nd at (0.000, 0.307, 0.600), Nd at (0.000, 0.368, 0.182), Y at (0.000, 0.297, 0.750), Tm at (0.000, 0.033, 0.124) and Tm at (0.000, 0.346, 0.044).

The calculated formation energy is 0.107 eV per atom. The value obtained for the energy above the most stable polymorph in this dataset is 0 meV/atom.

Record 11
The following is a PBE-GGA calculation of a relaxed Ba2InTe crystal, from the Alexandria database.

It has space group Cmmm (No. 65), with a = 7.847 Å, b = 9.291 Å, c = 4.227 Å, α = 90.00°, β = 90.00° and γ = 90.00°. The inequivalent atoms are Ba at (0.250, 0.250, 0.000), In at (0.000, 0.000, 0.500) and Te at (0.000, 0.500, 0.500).

As for the formation energy from raw total energies: -0.89 eV per atom. The value obtained for the energy above the most stable polymorph in this dataset is 42 meV/atom.

Record 12
The following is a PBE-GGA calculation of a relaxed Na2Zn9Pt6 crystal, from the Alexandria database.

It has space group P6/mmm (No. 191), with a = 7.2230 Å, b = 7.2230 Å, c = 8.5901 Å, α = 90.00°, β = 90.00° and γ = 120.00°. The inequivalent atoms are Na at (0.0000, 0.0000, 0.2381), Zn at (0.0000, 0.5000, 0.0000), Zn at (0.0000, 0.5000, 0.3335), Pt at (0.3333, 0.6667, 0.1673) and Pt at (0.3333, 0.6667, 0.5000).

The calculated formation energy is -0.350 eV per atom.

Please write out number 6 again, unchanged.
The following is a PBE-GGA calculation of a relaxed Ho2I3 crystal, from the Alexandria database.

It has space group R-3c (No. 167, hexagonal axes), with a = 7.0411 Å, b = 7.0411 Å, c = 23.9890 Å, α = 90.00°, β = 90.00° and γ = 120.00°. The inequivalent atoms are Ho at (0.0000, 0.0000, 0.1701) and I at (0.0000, 0.3404, 0.2500).

As for the formation energy from raw total energies: -0.80 eV per atom.

What did the fifth record say?
The following is a PBE-GGA calculation of a relaxed TiAs crystal, from the Alexandria database.

It has space group Cmcm (No. 63), with a = 3.748 Å, b = 14.001 Å, c = 5.530 Å, α = 90.00°, β = 90.00° and γ = 90.00°. The inequivalent atoms are Ti at (0.000, 0.000, 0.000), Ti at (0.000, 0.200, 0.250), As at (0.000, 0.165, 0.750) and As at (0.000, 0.424, 0.750).

The calculated formation energy is -0.776 eV per atom.